DFT (PBE-GGA) results for a geometry-optimized SrLaLu structure.

The structure in POSCAR format:
```
SrLaLu
1.0
8.1636 0.0000 0.0000
0.0000 8.1636 0.0000
0.0000 0.0000 8.1636
Sr La Lu
4 4 4
Direct
0.0000 0.0000 0.0000
0.0000 0.5000 0.5000
0.5000 0.0000 0.5000
0.5000 0.5000 0.0000
0.0000 0.0000 0.5000
0.0000 0.5000 0.0000
0.5000 0.0000 0.0000
0.5000 0.5000 0.5000
0.2500 0.2500 0.7500
0.2500 0.7500 0.2500
0.7500 0.2500 0.2500
0.7500 0.7500 0.7500
```

Summary:
offset from the most stable computed form: 0.0 meV per atom
magnetic moment: 0.0 μB per formula unit